LaDy3Tl3 | PBE | relaxed

Computed properties:
**Total magnetization**: 0.00 μB per formula unit
**Calculated formation energy**: -0.27 eV per atom
**DOS(E_F)**: 0.940 states/eV per atom
**ΔE to the lowest computed polymorph**: 0.000 eV/atom

Cell lengths 5.2592, 9.5691, 9.5691 Å; angles 120.00, 90.00, 90.00 degrees
Atoms (fractional coordinates):
Dy  0.7500  0.7700  0.0027
Tl  0.2500  0.3764  0.4472
Tl  0.7500  0.9292  0.3764
Dy  0.2500  0.2300  0.9973
La  0.7500  0.3333  0.6667
Dy  0.2500  0.7673  0.7700
Tl  0.7500  0.4472  0.0708
La  0.2500  0.6667  0.3333
Dy  0.7500  0.9973  0.7673
Tl  0.2500  0.0708  0.6236
Tl  0.7500  0.6236  0.5528
Dy  0.7500  0.2327  0.2300
Dy  0.2500  0.0027  0.2327
Tl  0.2500  0.5528  0.9292